A plane-wave DFT calculation with PBE was carried out for a geometry-optimized CdPH6CCl3 structure.

Results
density of states at the Fermi level	0.00	states/eV/f.u.
total moment	0.000	μB per formula unit
energy	-3.922	eV/atom

a = 6.7585 Å, b = 8.2865 Å, c = 15.0443 Å
α = 93.96°, β = 93.82°, γ = 93.66°
Last column: nearest neighbours and their distance in Å.
Space group P1 (No. 1)
Inequivalent atoms, fractional coordinates:
Cd 0.0000 0.0000 0.0000 x1  6 Cl 2.62-2.74
Cd 0.0370 0.4990 0.5008 x1  6 Cl 2.64-2.73
Cd 0.4988 0.9955 0.0009 x1  6 Cl 2.64-2.71
Cd 0.5400 0.4978 0.5020 x1  6 Cl 2.64-2.74
P 0.2772 0.5572 0.7798 x1  3 H 1.40-1.42
P 0.2926 0.0559 0.2777 x1  3 H 1.41-1.42
P 0.7326 0.5522 0.1106 x1  3 H 1.41-1.42
P 0.7557 0.0523 0.6108 x1  3 H 1.41-1.42
H 0.0468 0.4144 0.8653 x1  1 C 1.10
H 0.1172 0.0141 0.2228 x1  1 P 1.41
H 0.1529 0.6786 0.7562 x1  1 P 1.40
H 0.1724 0.9720 0.4143 x1  1 C 1.10
H 0.2098 0.5598 0.9336 x1  1 C 1.10
H 0.2779 0.4415 0.7059 x1  1 P 1.42
H 0.2896 0.8123 0.3557 x1  1 C 1.10
H 0.2968 0.2243 0.3028 x1  1 P 1.42
H 0.2975 0.3694 0.8935 x1  1 C 1.10
H 0.4378 0.9779 0.4152 x1  1 C 1.10
H 0.4571 0.0265 0.2275 x1  1 P 1.41
H 0.4710 0.6313 0.7967 x1  1 P 1.41
H 0.5638 0.6431 0.1024 x1  1 P 1.41
H 0.5846 0.1378 0.5942 x1  1 P 1.41
H 0.6086 0.3802 0.2177 x1  1 C 1.10
H 0.6193 0.8754 0.7119 x1  1 C 1.10
H 0.7232 0.4326 0.0382 x1  1 P 1.42
H 0.7355 0.0578 0.7699 x1  1 C 1.10
H 0.7568 0.5520 0.2708 x1  1 C 1.10
H 0.7652 0.9305 0.5404 x1  1 P 1.42
H 0.8737 0.3854 0.2184 x1  1 C 1.10
H 0.8848 0.9017 0.7293 x1  1 C 1.10
H 0.9038 0.6562 0.1046 x1  1 P 1.41
H 0.9242 0.1610 0.6098 x1  1 P 1.41
C 0.2005 0.4664 0.8777 x1  3 H 1.10
C 0.2983 0.9429 0.3752 x1  3 H 1.10
C 0.7443 0.4588 0.2148 x1  3 H 1.10
C 0.7484 0.9634 0.7160 x1  3 H 1.10
Cl 0.2273 0.9798 0.8655 x1  2 Cd 2.62-2.64, 1 H 2.89
Cl 0.2436 0.7854 0.0743 x1  3 H 2.55-2.71, 2 Cd 2.71-2.74
Cl 0.2656 0.4922 0.3654 x1  2 H 2.38-2.66, 1 Cd 2.64
Cl 0.2757 0.2792 0.5674 x1  3 H 2.40-2.65
Cl 0.2824 0.2172 0.0793 x1  2 Cd 2.68-2.70
Cl 0.3266 0.7136 0.5817 x1  2 Cd 2.64-2.72, 1 H 2.89
Cl 0.7203 0.7664 0.9340 x1  2 Cd 2.67-2.71, 1 H 2.71
Cl 0.7518 0.2055 0.9336 x1  2 H 2.39-2.67, 2 Cd 2.66
Cl 0.7519 0.2681 0.4323 x1  2 Cd 2.65-2.73
Cl 0.7736 0.0046 0.1409 x1  2 H 2.55-2.59, 2 Cd 2.69-2.71
Cl 0.7967 0.7076 0.4351 x1  1 H 2.38, 1 Cd 2.64
Cl 0.8153 0.5025 0.6414 x1  2 Cd 2.67-2.71, 1 H 2.98